Entry 1:
Here is a relaxed Ba4ReOs crystal from Alexandria. Energies are from GGA-PBEsol.

Lattice parameters (Å, degrees): 6.4223 6.4223 6.4223 60.00 60.00 60.00
Last column: nearest neighbours and their distance in Å.
Sites, in units of the cell vectors:
Os (0.7500, 0.7500, 0.7500)  12 Ba 3.76, 4 Re 3.93
Ba (0.3752, 0.3752, 0.8744)  6 Ba 3.21-3.22
Re (0.0000, 0.0000, 0.0000)  12 Ba 3.77, 4 Os 3.93
Ba (0.3752, 0.3752, 0.3752)  6 Ba 3.21-3.22
Ba (0.8744, 0.3752, 0.3752)  6 Ba 3.21-3.22
Ba (0.3752, 0.8744, 0.3752)  6 Ba 3.21-3.22

Space group   No. 216
ΔE_f   2.000 eV/atom

Entry 2:
Here is a relaxed BaCdS2 crystal from Alexandria. Energies are from GGA-PBEsol.

Lattice parameters (Å, degrees): 4.1751 7.1934 13.8087 90.00 90.00 90.00
Last column: nearest neighbours and their distance in Å.
Sites, in units of the cell vectors:
Cd (0.7500, 0.8895, 0.8928)  3 S 2.49-2.54
Ba (0.7500, 0.1288, 0.3576)  7 S 3.13-3.29
S (0.7500, 0.6128, 0.7452)  1 Cd 2.49
Ba (0.7500, 0.6288, 0.1424)  7 S 3.13-3.29
S (0.2500, 0.3872, 0.2548)  1 Cd 2.49
S (0.7500, 0.1128, 0.7548)  1 Cd 2.49
S (0.2500, 0.2673, 0.5234)  2 Cd 2.54
S (0.2500, 0.8872, 0.2452)  1 Cd 2.49
Cd (0.2500, 0.6105, 0.3928)  3 S 2.49-2.54
Ba (0.2500, 0.8712, 0.6424)  7 S 3.13-3.29
Cd (0.7500, 0.3895, 0.6072)  3 S 2.49-2.54
S (0.2500, 0.7673, 0.9766)  2 Cd 2.54
Cd (0.2500, 0.1105, 0.1072)  3 S 2.49-2.54
Ba (0.2500, 0.3712, 0.8576)  7 S 3.13-3.29
S (0.7500, 0.7327, 0.4766)  2 Cd 2.54
S (0.7500, 0.2327, 0.0234)  2 Cd 2.54

Space group   No. 62
Raw formation energy   -1.362 eV/atom

Entry 3:
Here is a relaxed H2WF crystal from Alexandria. Energies are from GGA-PBEsol.

Lattice parameters (Å, degrees): 4.1680 4.4191 4.4191 77.15 61.86 61.86
Last column: nearest neighbours and their distance in Å.
Sites, in units of the cell vectors:
H (0.0750, 0.0500, 0.5500)  2 W 1.84
W (0.7500, 0.5000, 0.5000)  4 H 1.84
H (0.6750, 0.9500, 0.4500)  2 W 1.84
F (0.2500, 0.5000, 0.5000)  2 W 2.08, 4 H 2.21
H (0.8750, 0.4500, 0.0500)  2 W 1.84
H (0.3750, 0.5500, 0.9500)  2 W 1.84
W (0.0000, 0.0000, 0.0000)  4 H 1.84
F (0.5000, 0.0000, 0.0000)  2 W 2.08, 4 H 2.21

Space group   No. 122
Distance to the lowest polymorph of the same formula   0.00 eV per formula unit

Entry 4:
Here is a relaxed CoCuNi2 crystal from Alexandria. Energies are from GGA-PBEsol.

Lattice parameters (Å, degrees): 2.4603 2.4603 8.1868 81.36 81.36 60.00
Last column: nearest neighbours and their distance in Å.
Sites, in units of the cell vectors:
Cu (0.0000, 0.0000, 0.0000)  6 Cu 2.46, 6 Ni 2.50
Ni (0.7517, 0.7517, 0.7448)  3 Co 2.43, 6 Ni 2.46, 3 Cu 2.50
Ni (0.2483, 0.2483, 0.2552)  3 Co 2.43, 6 Ni 2.46, 3 Cu 2.50
Co (0.5000, 0.5000, 0.5000)  6 Ni 2.43, 6 Co 2.46

Space group   No. 166
ΔE_f   0.015 eV/atom

Entry 5:
Here is a relaxed TlCoTe2 crystal from Alexandria. Energies are from GGA-PBEsol.

Lattice parameters (Å, degrees): 5.0900 5.0900 5.0900 60.00 60.00 60.00
Last column: nearest neighbours and their distance in Å.
Sites, in units of the cell vectors:
Te (0.7500, 0.7500, 0.7500)  4 Co 3.12, 4 Tl 3.12
Tl (0.0000, 0.0000, 0.0000)  8 Te 3.12
Co (0.5000, 0.5000, 0.5000)  8 Te 3.12
Te (0.2500, 0.2500, 0.2500)  4 Tl 3.12, 4 Co 3.12

Space group   No. 225
Raw formation energy   0.519 eV/atom

Entry 6:
Here is a relaxed AgCl2 crystal from Alexandria. Energies are from GGA-PBEsol.

Lattice parameters (Å, degrees): 3.1739 3.1739 6.6528 103.80 103.80 90.00
Last column: nearest neighbours and their distance in Å.
Sites, in units of the cell vectors:
Ag (0.5000, 0.5000, 0.0000)  8 Cl 2.76
Cl (0.8718, 0.8718, 0.7437)  4 Ag 2.76
Cl (0.1282, 0.1282, 0.2563)  4 Ag 2.76

Space group   No. 139
Raw formation energy   -0.033 eV/atom

no.,calculated volume (Å³/atom)
1,31.22
2,25.92
3,7.91
4,10.57
5,23.31
6,21.03